Density functional theory data (PBE) for an optimized crystal structure of ScNiMo.

* total DFT energy (no corrections): -7.699 eV/atom
* ΔH_f (0 K): -0.15 eV/f.u.
* energy above the most stable polymorph in this dataset: 64.7 meV per atom

```
ScNiMo
1.0
4.407 0.000 0.000
0.000 3.337 0.000
0.000 0.000 13.076
Mo Ni Sc
4 4 4
Cartesian
0.000 0.000 5.356
0.000 1.669 11.895
0.000 1.669 3.521
0.000 0.000 10.059
2.204 0.000 3.443
2.204 1.669 1.395
2.204 0.000 7.933
2.204 1.669 9.981
2.204 1.669 5.676
2.204 0.000 12.214
0.000 1.669 7.864
0.000 0.000 1.326
```

=====

Density functional theory data (PBE) for an optimized crystal structure of Y9Tm4Tl11.

* total DFT energy (no corrections): -4.530 eV/atom
* ΔH_f (0 K): -6.63 eV/f.u.

```
Y9Tm4Tl11
1.0
3.588 0.000 0.000
0.000 13.041 -5.057
0.000 0.475 13.979
Tl Tm Y
11 4 9
Cartesian
0.000 8.308 2.113
0.000 0.000 0.000
0.000 8.124 10.244
0.000 5.391 -1.322
0.000 2.792 10.468
0.000 0.903 5.477
0.000 10.723 -1.546
0.000 2.950 1.948
0.000 5.208 6.809
0.000 12.613 3.445
0.000 10.565 6.974
1.794 5.554 1.436
1.794 3.503 4.543
1.794 10.012 4.379
1.794 7.962 7.486
1.794 8.100 -0.925
1.794 5.416 9.847
1.794 2.672 -0.759
1.794 13.164 6.166
1.794 11.183 1.110
1.794 0.352 2.756
1.794 10.843 9.681
1.794 6.758 4.461
1.794 2.332 7.811
```

=====

Density functional theory data (PBE) for an optimized crystal structure of BaPaTlO6.

* total DFT energy (no corrections): -6.740 eV/atom
* formation energy from raw total energies: -1903 meV/atom

```
BaPaTlO6
1.0
4.980 0.000 0.000
0.000 6.038 0.000
0.000 -3.019 5.229
O Pa Ba Tl
6 1 1 1
Cartesian
1.222 -1.772 3.754
3.758 1.772 3.754
3.758 -1.119 4.887
3.758 -0.654 1.817
1.222 0.654 1.817
1.222 1.119 4.887
0.000 0.000 3.486
2.490 3.019 1.743
2.490 0.000 0.000
```